[1]
8
Lattice="2.1797 1.2584 3.7566 -2.1797 1.2584 3.7566 0.0000 -2.5169 3.7566" Properties=species:S:1:pos:R:3 comment="NpH6Ru PBE relaxed" energy_ev_per_atom=-5.396 sg="R-3m, No. 166" pbc="T T T"
Np 0.0000 0.0000 0.0000
H -1.2187 -0.7036 4.7014
H 0.0000 -1.4072 6.5684
H -1.2187 0.7036 6.5684
H 1.2187 -0.7036 4.7014
H 0.0000 1.4072 4.7014
H 1.2187 0.7036 6.5684
Ru 0.0000 0.0000 5.6349

---

[2]
8
Lattice="4.1332 0.0000 0.0000 0.1871 6.7661 0.0000 0.0030 2.5298 6.7240" Properties=species:S:1:pos:R:3 comment="NpHS2 PBE relaxed" relative_energy_mev_per_atom=0 sg="P-1, No. 2" pbc="T T T"
Np 1.0350 0.6703 1.7520
Np 3.2883 8.6256 4.9719
H 1.0834 4.9625 5.2029
H 3.2399 4.3334 1.5210
S 1.0350 3.6470 5.6877
S 1.2233 6.9665 4.4215
S 3.1000 2.3294 2.3024
S 3.2884 5.6489 1.0363

---

[3]
4
Lattice="1.8241 1.0532 4.0272 -1.8241 1.0532 4.0272 0.0000 -2.1063 4.0272" Properties=species:S:1:pos:R:3 comment="NpH2S PBE relaxed" energy_ev_per_atom=-6.544 sg="R-3m, No. 166" pbc="T T T"
Np 0.0000 0.0000 0.0000
H 0.0000 0.0000 3.5698
H 0.0000 0.0000 8.5118
S 0.0000 0.0000 6.0408